! PBE-GGA Zr4BeIr, relaxed; values from VASP
! Volume   19.99 A^3/atom
! Symmetry   F-43m (216)
! E_form   0.56 eV/atom
&SYSTEM
  ibrav = 0, nat = 6, ntyp = 3
/
ATOMIC_SPECIES
Zr 91.22 Zr.upf
Be 9.01 Be.upf
Ir 192.22 Ir.upf
ATOMIC_POSITIONS crystal
Zr 0.376 0.376 0.376
Zr 0.376 0.376 0.872
Zr 0.376 0.872 0.376
Zr 0.872 0.376 0.376
Be 0.000 0.000 0.000
Ir 0.750 0.750 0.750
CELL_PARAMETERS angstrom
0.000 3.914 3.914
3.914 0.000 3.914
3.914 3.914 0.000